The following is a PBE with a Hubbard U calculation of a geometry-optimized V2CF structure, from the Alexandria database.

Results
- Density of states at the Fermi level: 4.90 states/eV per cell
- Distance to the lowest polymorph of the same formula: 151.6 meV per atom

a b c (Å): 4.9629 4.9629 9.2718
angles (deg): 90.00 90.00 90.00
Closest atoms and distances in Å follow each position.
Atoms (fractional coordinates):
V1 0.2209 0.2500 0.1250  2 C 2.02, 2 F 2.19
V2 0.2500 0.7209 0.3750  2 C 2.02, 2 F 2.19
V3 0.2500 0.7791 0.8750  2 C 2.02, 2 F 2.19
V4 0.2791 0.2500 0.6250  2 C 2.02, 2 F 2.19
V5 0.7209 0.7500 0.6250  2 C 2.02, 2 F 2.19
V6 0.7500 0.2209 0.8750  2 C 2.02, 2 F 2.19
V7 0.7500 0.2791 0.3750  2 C 2.02, 2 F 2.19
V8 0.7791 0.7500 0.1250  2 C 2.02, 2 F 2.19
C1 0.0000 0.0000 0.0000  4 V 2.02
C2 0.0000 0.5000 0.2500  4 V 2.02
C3 0.5000 0.0000 0.7500  4 V 2.02
C4 0.5000 0.5000 0.5000  4 V 2.02
F1 0.0000 0.0000 0.5000  4 V 2.19
F2 0.0000 0.5000 0.7500  4 V 2.19
F3 0.5000 0.0000 0.2500  4 V 2.19
F4 0.5000 0.5000 0.0000  4 V 2.19